Na2LaCoO4, relaxed, DFT PBE with a Hubbard U; electronic total energy = -47.7 eV per cell; M_tot = 2.0 μB/cell; crystal system = tetragonal
1.0
5.227 0.085 0.130
-2.150 4.765 -0.130
-2.150 -2.037 4.309
Na La Co O
2 1 1 4
Direct
0.500 0.750 0.250
0.000 0.000 0.000
0.500 0.250 0.750
0.000 0.500 0.500
0.553 0.322 0.328
0.006 0.231 0.678
0.994 0.672 0.225
0.447 0.775 0.769